(1)
Here is a relaxed LiHfZr crystal from Alexandria. Energies are from PBE-GGA.

Calculated values
* space group: P2_1/m
* E above lowest polymorph: 80 meV/atom

abc: 5.081 5.870 10.579
angles: 56.30 61.25 29.99
Positions (direct):
Hf: 0.867 0.395 0.353
Hf: 0.368 0.245 0.501
Zr: 0.364 0.580 0.670
Zr: 0.871 0.059 0.184
Li: 0.879 0.725 0.010
Li: 0.356 0.914 0.844

(2)
Here is a relaxed Li2HfZr2 crystal from Alexandria. Energies are from PBE-GGA.

Calculated values
* space group: P4/mbm
* E above lowest polymorph: 0 meV/atom

abc: 8.031 8.031 3.023
angles: 90.00 90.00 90.00
Positions (direct):
Zr: 0.187 0.687 0.500
Zr: 0.813 0.313 0.500
Zr: 0.313 0.187 0.500
Zr: 0.687 0.813 0.500
Hf: 0.500 0.500 0.000
Hf: 0.000 0.000 0.000
Li: 0.890 0.610 0.000
Li: 0.110 0.390 0.000
Li: 0.390 0.890 0.000
Li: 0.610 0.110 0.000

(3)
Here is a relaxed LiHf2Zr2 crystal from Alexandria. Energies are from PBE-GGA.

Calculated values
* space group: P4/mbm
* E above lowest polymorph: 0 meV/atom

abc: 7.466 7.466 4.048
angles: 90.00 90.00 90.00
Positions (direct):
Hf: 0.143 0.357 0.000
Hf: 0.357 0.857 0.000
Hf: 0.857 0.643 0.000
Hf: 0.643 0.143 0.000
Li: 0.500 0.500 0.000
Li: 0.000 0.000 0.000
Zr: 0.350 0.150 0.500
Zr: 0.650 0.850 0.500
Zr: 0.850 0.350 0.500
Zr: 0.150 0.650 0.500

(4)
Here is a relaxed Lu5Hf crystal from Alexandria. Energies are from PBE-GGA.

Calculated values
* space group: Cmmm

abc: 4.818 4.805 7.601
angles: 108.43 90.00 90.00
Positions (direct):
Hf: 0.000 0.000 0.000
Lu: 0.500 0.160 0.320
Lu: 0.500 0.840 0.680
Lu: 0.500 0.500 0.000
Lu: 0.000 0.341 0.681
Lu: 0.000 0.659 0.319

(5)
Here is a relaxed LuHf2 crystal from Alexandria. Energies are from PBE-GGA.

Calculated values
* space group: I4/mmm
* E above lowest polymorph: 0 meV/atom

abc: 3.158 3.158 7.704
angles: 101.83 101.83 90.00
Positions (direct):
Hf: 0.678 0.678 0.357
Hf: 0.322 0.322 0.643
Lu: 0.000 0.000 0.000

(6)
Here is a relaxed LuHf3 crystal from Alexandria. Energies are from PBE-GGA.

Calculated values
* space group: Imm2
* E above lowest polymorph: 10 meV/atom

abc: 3.255 5.665 6.077
angles: 117.78 105.54 90.00
Positions (direct):
Hf: 0.753 0.085 0.505
Hf: 0.500 0.502 0.000
Hf: 0.247 0.580 0.495
Lu: 0.000 0.000 0.000

(7)
Here is a relaxed LuHf3 crystal from Alexandria. Energies are from PBE-GGA.

Calculated values
* space group: Pm-3m
* E above lowest polymorph: 98 meV/atom

abc: 4.552 4.552 4.552
angles: 90.00 90.00 90.00
Positions (direct):
Lu: 0.000 0.000 0.000
Hf: 0.000 0.500 0.500
Hf: 0.500 0.500 0.000
Hf: 0.500 0.000 0.500

(8)
Here is a relaxed LuHf3 crystal from Alexandria. Energies are from PBE-GGA.

Calculated values
* space group: I4/mmm
* E above lowest polymorph: 100 meV/atom

abc: 4.564 4.564 5.560
angles: 114.23 114.23 90.00
Positions (direct):
Hf: 0.500 0.500 0.000
Hf: 0.250 0.750 0.500
Hf: 0.750 0.250 0.500
Lu: 0.000 0.000 0.000

(9)
Here is a relaxed LuHf5 crystal from Alexandria. Energies are from PBE-GGA.

Calculated values
* space group: Cmmm

abc: 4.509 4.533 7.183
angles: 108.39 90.00 90.00
Positions (direct):
Hf: 0.000 0.329 0.659
Hf: 0.500 0.500 0.000
Hf: 0.500 0.169 0.339
Hf: 0.500 0.831 0.661
Hf: 0.000 0.671 0.341
Lu: 0.000 0.000 0.000

(10)
Here is a relaxed LuHf2 crystal from Alexandria. Energies are from PBE-GGA.

Calculated values
* space group: Fd-3m
* E above lowest polymorph: 191 meV/atom

abc: 6.007 6.007 6.007
angles: 60.00 60.00 60.00
Positions (direct):
Hf: 0.625 0.625 0.625
Hf: 0.625 0.125 0.625
Hf: 0.125 0.625 0.625
Hf: 0.625 0.625 0.125
Lu: 0.250 0.250 0.250
Lu: 0.000 0.000 0.000

(11)
Here is a relaxed LuHf3 crystal from Alexandria. Energies are from PBE-GGA.

Calculated values
* space group: Pmm2
* E above lowest polymorph: 0 meV/atom

abc: 3.250 5.117 5.687
angles: 90.00 90.00 90.00
Positions (direct):
Hf: 0.000 0.000 0.991
Hf: 0.500 0.500 0.832
Hf: 0.500 0.000 0.513
Lu: 0.000 0.500 0.330

(12)
Here is a relaxed LuHfMg2 crystal from Alexandria. Energies are from PBE-GGA.

Calculated values
* space group: Fm-3m
* E above lowest polymorph: 18 meV/atom

abc: 5.087 5.087 5.087
angles: 60.00 60.00 60.00
Positions (direct):
Hf: 0.500 0.500 0.500
Mg: 0.750 0.750 0.750
Mg: 0.250 0.250 0.250
Lu: 0.000 0.000 0.000

(13)
Here is a relaxed LuHfMg2 crystal from Alexandria. Energies are from PBE-GGA.

Calculated values
* space group: P4/mmm
* E above lowest polymorph: 0 meV/atom

abc: 3.561 3.561 7.380
angles: 90.00 90.00 90.00
Positions (direct):
Mg: 0.000 0.000 0.234
Mg: 0.000 0.000 0.766
Lu: 0.500 0.500 0.500
Hf: 0.500 0.500 0.000

(14)
Here is a relaxed LuHfMg4 crystal from Alexandria. Energies are from PBE-GGA.

Calculated values
* space group: F-43m

abc: 5.818 5.818 5.818
angles: 60.00 60.00 60.00
Positions (direct):
Lu: 0.250 0.250 0.250
Mg: 0.626 0.626 0.123
Mg: 0.626 0.123 0.626
Mg: 0.626 0.626 0.626
Mg: 0.123 0.626 0.626
Hf: 0.000 0.000 0.000

(15)
Here is a relaxed LuHfMgOs crystal from Alexandria. Energies are from PBE-GGA.

Calculated values
* space group: F-43m

abc: 4.802 4.802 4.802
angles: 60.00 60.00 60.00
Positions (direct):
Lu: 0.750 0.750 0.750
Hf: 0.250 0.250 0.250
Mg: 0.500 0.500 0.500
Os: 0.000 0.000 0.000

(16)
Here is a relaxed LuHfMgRe crystal from Alexandria. Energies are from PBE-GGA.

Calculated values
* space group: F-43m

abc: 4.828 4.828 4.828
angles: 60.00 60.00 60.00
Positions (direct):
Hf: 0.250 0.250 0.250
Re: 0.000 0.000 0.000
Lu: 0.750 0.750 0.750
Mg: 0.500 0.500 0.500

(17)
Here is a relaxed LuHfMgRu crystal from Alexandria. Energies are from PBE-GGA.

Calculated values
* space group: F-43m

abc: 4.819 4.819 4.819
angles: 60.00 60.00 60.00
Positions (direct):
Ru: 0.250 0.250 0.250
Hf: 0.000 0.000 0.000
Lu: 0.500 0.500 0.500
Mg: 0.750 0.750 0.750

(18)
Here is a relaxed TmLuHfMg crystal from Alexandria. Energies are from PBE-GGA.

Calculated values
* space group: F-43m

abc: 5.260 5.260 5.260
angles: 60.00 60.00 60.00
Positions (direct):
Mg: 0.750 0.750 0.750
Hf: 0.250 0.250 0.250
Lu: 0.000 0.000 0.000
Tm: 0.500 0.500 0.500

(19)
Here is a relaxed LuHfMgZn crystal from Alexandria. Energies are from PBE-GGA.

Calculated values
* space group: F-43m

abc: 4.929 4.929 4.929
angles: 60.00 60.00 60.00
Positions (direct):
Lu: 0.750 0.750 0.750
Mg: 0.500 0.500 0.500
Hf: 0.250 0.250 0.250
Zn: 0.000 0.000 0.000

(20)
Here is a relaxed LuHfMgZr crystal from Alexandria. Energies are from PBE-GGA.

Calculated values
* space group: F-43m

abc: 5.124 5.124 5.124
angles: 60.00 60.00 60.00
Positions (direct):
Hf: 0.500 0.500 0.500
Lu: 0.250 0.250 0.250
Mg: 0.000 0.000 0.000
Zr: 0.750 0.750 0.750

| no. | E_form (eV per atom) |
| --- | --- |
| 1 | 0.20 |
| 2 | 0.32 |
| 3 | 0.31 |
| 4 | 0.08 |
| 5 | 0.11 |
| 6 | 0.05 |
| 7 | 0.14 |
| 8 | 0.14 |
| 9 | 0.11 |
| 10 | 0.30 |
| 11 | 0.04 |
| 12 | 0.12 |
| 13 | 0.10 |
| 14 | 0.13 |
| 15 | -0.23 |
| 16 | -0.04 |
| 17 | -0.22 |
| 18 | 0.19 |
| 19 | -0.01 |
| 20 | 0.19 |